# 1
{
  "formula": "Y3Fe2",
  "functional": "PBE-GGA",
  "state": "optimized geometry",
  "cell": [[2.8674, 4.1908, -4.2965], [0.4429, 1.1242, 6.5411], [6.0395, -2.3297, -3.3907]],
  "species": ["Fe", "Fe", "Fe", "Fe", "Y", "Y", "Y", "Y", "Y", "Y"],
  "fractional_positions": [[0.3091, 0.6909, 0.0726], [0.1909, 0.8091, 0.4274], [0.8091, 0.1909, 0.5726], [0.6909, 0.3091, 0.9274], [0.2500, 0.1423, 0.2500], [0.8577, 0.3577, 0.2500], [0.6423, 0.7500, 0.2500], [0.3577, 0.2500, 0.7500], [0.1423, 0.6423, 0.7500], [0.7500, 0.8577, 0.7500]],
  "final_energy_ev_per_atom": -7.030
}



# 2
{
  "formula": "HfNbMo2",
  "functional": "PBE-GGA",
  "state": "optimized geometry",
  "cell": [[0.0000, 3.2657, 3.2657], [3.2657, 0.0000, 3.2657], [3.2657, 3.2657, 0.0000]],
  "species": ["Hf", "Mo", "Mo", "Nb"],
  "fractional_positions": [[0.2500, 0.2500, 0.2500], [0.0000, 0.0000, 0.0000], [0.7500, 0.7500, 0.7500], [0.5000, 0.5000, 0.5000]],
  "final_energy_ev_per_atom": -10.431
}